# 1
{"formula": "Nd5Sn2Pb", "functional": "GGA-PBE", "state": "relaxed", "lattice_angstrom": [[-2.210, 0.874, 7.843], [-1.947, -7.960, 0.078], [5.433, 2.725, -2.932]], "species": ["Nd", "Nd", "Nd", "Nd", "Nd", "Sn", "Sn", "Pb"], "frac_coords": [[0.725, 0.193, 0.917], [0.200, 0.242, 0.942], [0.700, 0.742, 0.942], [0.254, 0.722, 0.977], [0.764, 0.679, 0.443], [0.183, 0.731, 0.444], [0.713, 0.261, 0.444], [0.238, 0.207, 0.445]], "total_magnetization_mub_per_cell": 0.00, "formation_energy_kj_per_mol_fu": -349}

=====

# 2
{"formula": "NdEr5Sc5", "functional": "GGA-PBE", "state": "relaxed", "lattice_angstrom": [[5.781, 0.000, 0.000], [-2.891, 5.007, 0.000], [0.000, 0.000, 11.260]], "species": ["Nd", "Er", "Er", "Er", "Er", "Er", "Sc", "Sc", "Sc", "Sc", "Sc"], "frac_coords": [[0.333, 0.667, 0.000], [0.667, 0.333, 0.163], [0.667, 0.333, 0.837], [0.333, 0.667, 0.324], [0.333, 0.667, 0.676], [0.000, 0.000, 0.000], [0.329, 0.165, 0.500], [0.000, 0.000, 0.269], [0.835, 0.671, 0.500], [0.835, 0.165, 0.500], [0.000, 0.000, 0.731]], "total_magnetization_mub_per_cell": 2.73, "formation_energy_kj_per_mol_fu": 256}

=====

# 3
{"formula": "TbPm4Nd2Y2", "functional": "GGA-PBE", "state": "relaxed", "lattice_angstrom": [[5.142, 0.000, 0.000], [-2.571, 7.714, 0.032], [0.000, -2.612, 7.666]], "species": ["Tb", "Pm", "Pm", "Pm", "Pm", "Nd", "Nd", "Y", "Y"], "frac_coords": [[0.000, 0.000, 0.000], [0.778, 0.557, 0.668], [0.222, 0.443, 0.332], [0.556, 0.111, 0.332], [0.444, 0.889, 0.668], [0.889, 0.778, 0.333], [0.111, 0.222, 0.667], [0.334, 0.667, 0.000], [0.666, 0.333, 0.000]], "total_magnetization_mub_per_cell": 0.00, "formation_energy_kj_per_mol_fu": 15}

=====

# 4
{"formula": "Ca2Zn2Cd", "functional": "GGA-PBE", "state": "relaxed", "lattice_angstrom": [[-2.293, -5.378, -0.586], [5.774, 0.676, 0.649], [-2.709, 0.278, 8.055]], "species": ["Ca", "Ca", "Ca", "Ca", "Zn", "Zn", "Zn", "Zn", "Cd", "Cd"], "frac_coords": [[0.506, 0.298, 0.149], [0.209, 0.702, 0.351], [0.494, 0.702, 0.851], [0.791, 0.298, 0.649], [0.719, 0.722, 0.501], [0.998, 0.278, 0.999], [0.281, 0.278, 0.499], [0.002, 0.722, 0.001], [0.847, 0.000, 0.250], [0.153, 0.000, 0.750]], "total_magnetization_mub_per_cell": 0.00, "formation_energy_kj_per_mol_fu": -139}